PBE with a Hubbard U Rb2MoO4, relaxed; symmetry = Pnma (62); ρ = 3.52 g/cm3; energy = -6.004 eV/atom
1.0
8.400 0.000 0.000
0.000 6.678 0.000
0.000 0.000 11.132
Rb Mo O
8 4 16
Direct
0.014 0.250 0.221
0.188 0.250 0.567
0.312 0.750 0.067
0.486 0.750 0.721
0.514 0.250 0.279
0.688 0.250 0.933
0.812 0.750 0.433
0.986 0.750 0.779
0.218 0.250 0.905
0.282 0.750 0.405
0.718 0.250 0.595
0.782 0.750 0.095
0.017 0.250 0.960
0.146 0.750 0.530
0.250 0.031 0.814
0.250 0.469 0.814
0.250 0.531 0.314
0.250 0.969 0.314
0.354 0.250 0.030
0.483 0.750 0.460
0.517 0.250 0.540
0.646 0.750 0.970
0.750 0.031 0.686
0.750 0.469 0.686
0.750 0.531 0.186
0.750 0.969 0.186
0.854 0.250 0.470
0.983 0.750 0.040